(1)
# PBE-GGA CaLa8Er6, relaxed
data_CaLa8Er6
_chemical_formula_sum 'Ca3 La24 Er18'
_cell_length_a 9.6122
_cell_length_b 9.6122
_cell_length_c 20.5286
_cell_angle_alpha 90.00
_cell_angle_beta 90.00
_cell_angle_gamma 120.00
_space_group_name_H-M_alt 'R -3'
_space_group_IT_number 148
_space_group_name_Hall '-R 3'
loop_
_atom_site_label
_atom_site_type_symbol
_atom_site_fract_x
_atom_site_fract_y
_atom_site_fract_z
_atom_site_occupancy
Ca1 Ca 0.0000 0.0000 0.0000 1
La1 La 0.0000 0.0000 0.2439 1
La2 La 0.0125 0.3130 0.1244 1
Er1 Er 0.0008 0.2788 0.6292 1
# Crystal system = trigonal
# Magnetization = 0.00 Bohr magnetons per cell
# Formation energy = 255 meV/atom

---

(2)
# PBE-GGA NiBrCl2, relaxed
data_NiBrCl2
_chemical_formula_sum 'Ni2 Br2 Cl4'
_cell_length_a 6.7476
_cell_length_b 7.4695
_cell_length_c 4.9641
_cell_angle_alpha 90.00
_cell_angle_beta 131.56
_cell_angle_gamma 90.00
_space_group_name_H-M_alt 'C 1 2/m 1'
_space_group_IT_number 12
_space_group_name_Hall '-C 2y'
loop_
_atom_site_label
_atom_site_type_symbol
_atom_site_fract_x
_atom_site_fract_y
_atom_site_fract_z
_atom_site_occupancy
Ni1 Ni 0.0000 0.0000 0.0000 1
Br1 Br 0.0000 0.5000 0.0000 1
Cl1 Cl 0.2500 0.2500 0.5000 1
# Energy relative to the lowest polymorph listed for this composition = 0.7406 eV/atom
# Formation energy without anion corrections = 353 meV/atom
# Crystal system = monoclinic
# Magnetization = 2.36 Bohr magnetons per cell

---

(3)
# PBE-GGA Pm2Dy3In, relaxed
data_Pm2Dy3In
_chemical_formula_sum 'Pm4 Dy6 In2'
_cell_length_a 4.8884
_cell_length_b 15.2226
_cell_length_c 4.9208
_cell_angle_alpha 90.00
_cell_angle_beta 90.00
_cell_angle_gamma 90.00
_space_group_name_H-M_alt 'C m m m'
_space_group_IT_number 65
_space_group_name_Hall '-C 2 2'
loop_
_atom_site_label
_atom_site_type_symbol
_atom_site_fract_x
_atom_site_fract_y
_atom_site_fract_z
_atom_site_occupancy
Pm1 Pm 0.0000 0.1619 0.0000 1
Dy1 Dy 0.0000 0.0000 0.5000 1
Dy2 Dy 0.0000 0.3354 0.5000 1
In1 In 0.0000 0.5000 0.0000 1
# Energy relative to the lowest polymorph listed for this composition = 0.0000 eV/atom
# Crystal system = orthorhombic
# Magnetization = 0.00 Bohr magnetons per cell
# Formation energy = -151 meV/atom

---

(4)
# PBE-GGA BaAgW, relaxed
data_BaAgW
_chemical_formula_sum 'Ba1 Ag1 W1'
_cell_length_a 5.2837
_cell_length_b 5.2837
_cell_length_c 2.9921
_cell_angle_alpha 90.00
_cell_angle_beta 90.00
_cell_angle_gamma 120.00
_space_group_name_H-M_alt 'P -6 m 2'
_space_group_IT_number 187
_space_group_name_Hall 'P -6 2'
loop_
_atom_site_label
_atom_site_type_symbol
_atom_site_fract_x
_atom_site_fract_y
_atom_site_fract_z
_atom_site_occupancy
Ba1 Ba 0.0000 0.0000 0.0000 1
Ag1 Ag 0.3333 0.6667 0.5000 1
W1 W 0.6667 0.3333 0.5000 1
# Energy relative to the lowest polymorph listed for this composition = 0.2683 eV/atom
# Crystal system = hexagonal
# Magnetization = 0.65 Bohr magnetons per cell
# Formation energy = 1288 meV/atom

---

Number 1: electronic total energy -0.1592 hartree per atom. Number 2: electronic total energy -0.0894 hartree per atom. Number 3: electronic total energy -0.1651 hartree per atom. Number 4: electronic total energy -0.1698 hartree per atom.